{
  "formula": "SbIr3C",
  "functional": "PBE-GGA",
  "state": "relaxed",
  "lattice": [[4.853, 0.000, 0.000], [0.000, 4.853, 0.000], [0.000, 0.000, 4.853]],
  "species": ["Sb", "Ir", "Ir", "Ir", "C"],
  "frac_coords": [[0.000, 0.000, 0.000], [0.000, 0.000, 0.500], [0.000, 0.500, 0.000], [0.500, 0.000, 0.000], [0.500, 0.500, 0.500]],
  "space_group": "Pm-3m",
  "de_polymorph_ev_per_atom": 2.494,
  "formation_energy_uncorrected_ev_per_atom": 3.08
}



{
  "formula": "Sb2IrC",
  "functional": "PBE-GGA",
  "state": "relaxed",
  "lattice": [[5.732, 0.000, 0.000], [0.000, 5.732, 0.000], [0.000, 0.000, 10.083]],
  "species": ["Sb", "Sb", "Sb", "Sb", "Sb", "Sb", "Sb", "Sb", "Ir", "Ir", "Ir", "Ir", "C", "C", "C", "C"],
  "frac_coords": [[0.205, 0.250, 0.125], [0.250, 0.705, 0.375], [0.250, 0.795, 0.875], [0.295, 0.250, 0.625], [0.705, 0.750, 0.625], [0.750, 0.205, 0.875], [0.750, 0.295, 0.375], [0.795, 0.750, 0.125], [0.000, 0.000, 0.500], [0.000, 0.500, 0.750], [0.500, 0.000, 0.250], [0.500, 0.500, 0.000], [0.000, 0.000, 0.000], [0.000, 0.500, 0.250], [0.500, 0.000, 0.750], [0.500, 0.500, 0.500]],
  "space_group": "I-42d",
  "formation_energy_uncorrected_ev_per_atom": 0.68
}



{
  "formula": "SbIrC3",
  "functional": "PBE-GGA",
  "state": "relaxed",
  "lattice": [[4.153, 0.000, 0.000], [0.000, 4.153, 0.000], [0.000, 0.000, 4.153]],
  "species": ["Sb", "Ir", "C", "C", "C"],
  "frac_coords": [[0.000, 0.000, 0.000], [0.500, 0.500, 0.500], [0.000, 0.000, 0.500], [0.000, 0.500, 0.000], [0.500, 0.000, 0.000]],
  "space_group": "Pm-3m",
  "de_polymorph_ev_per_atom": 1.182,
  "formation_energy_uncorrected_ev_per_atom": 3.27
}



{
  "formula": "Sb3IrC",
  "functional": "PBE-GGA",
  "state": "relaxed",
  "lattice": [[4.572, 0.000, 0.000], [0.000, 4.572, 0.000], [0.000, 0.000, 4.572]],
  "species": ["Sb", "Sb", "Sb", "Ir", "C"],
  "frac_coords": [[0.000, 0.000, 0.500], [0.000, 0.500, 0.000], [0.500, 0.000, 0.000], [0.500, 0.500, 0.500], [0.000, 0.000, 0.000]],
  "space_group": "Pm-3m",
  "de_polymorph_ev_per_atom": 0.000,
  "formation_energy_uncorrected_ev_per_atom": 1.12
}



{
  "formula": "SiSb2IrC",
  "functional": "PBE-GGA",
  "state": "relaxed",
  "lattice": [[4.832, 0.000, 0.000], [0.000, 4.832, 0.000], [0.000, 0.000, 3.670]],
  "species": ["Si", "Sb", "Sb", "Ir", "C"],
  "frac_coords": [[0.000, 0.000, 0.000], [0.000, 0.500, 0.500], [0.500, 0.000, 0.500], [0.500, 0.500, 0.000], [0.000, 0.000, 0.500]],
  "space_group": "P4/mmm",
  "formation_energy_uncorrected_ev_per_atom": 0.90
}



{
  "formula": "Sb2TeIrC",
  "functional": "PBE-GGA",
  "state": "relaxed",
  "lattice": [[5.047, 0.000, 0.000], [0.000, 5.047, 0.000], [0.000, 0.000, 5.634]],
  "species": ["Sb", "Sb", "Te", "Ir", "C"],
  "frac_coords": [[0.000, 0.500, 0.000], [0.500, 0.000, 0.000], [0.000, 0.000, 0.500], [0.000, 0.000, 0.000], [0.500, 0.500, 0.500]],
  "space_group": "P4/mmm",
  "de_polymorph_ev_per_atom": 0.594,
  "formation_energy_uncorrected_ev_per_atom": 1.76
}



{
  "formula": "SbTe2IrC",
  "functional": "PBE-GGA",
  "state": "relaxed",
  "lattice": [[4.650, 0.000, 0.000], [0.000, 4.650, 0.000], [0.000, 0.000, 4.565]],
  "species": ["Sb", "Te", "Te", "Ir", "C"],
  "frac_coords": [[0.000, 0.000, 0.000], [0.000, 0.500, 0.500], [0.500, 0.000, 0.500], [0.500, 0.500, 0.000], [0.000, 0.000, 0.500]],
  "space_group": "P4/mmm",
  "de_polymorph_ev_per_atom": 0.000,
  "formation_energy_uncorrected_ev_per_atom": 1.25
}



{
  "formula": "Sb2TeIrC",
  "functional": "PBE-GGA",
  "state": "relaxed",
  "lattice": [[4.606, 0.000, 0.000], [0.000, 4.606, 0.000], [0.000, 0.000, 4.577]],
  "species": ["Sb", "Sb", "Te", "Ir", "C"],
  "frac_coords": [[0.000, 0.500, 0.000], [0.500, 0.000, 0.000], [0.000, 0.000, 0.500], [0.500, 0.500, 0.500], [0.000, 0.000, 0.000]],
  "space_group": "P4/mmm",
  "de_polymorph_ev_per_atom": 0.000,
  "formation_energy_uncorrected_ev_per_atom": 1.16
}



{
  "formula": "SbTe2IrC",
  "functional": "PBE-GGA",
  "state": "relaxed",
  "lattice": [[5.385, 0.000, 0.000], [0.000, 5.385, 0.000], [0.000, 0.000, 4.986]],
  "species": ["Sb", "Te", "Te", "Ir", "C"],
  "frac_coords": [[0.000, 0.000, 0.000], [0.000, 0.500, 0.500], [0.500, 0.000, 0.500], [0.000, 0.000, 0.500], [0.500, 0.500, 0.000]],
  "space_group": "P4/mmm",
  "de_polymorph_ev_per_atom": 0.532,
  "formation_energy_uncorrected_ev_per_atom": 1.79
}



{
  "formula": "TlSbIrC2",
  "functional": "PBE-GGA",
  "state": "relaxed",
  "lattice": [[4.108, 0.000, 0.000], [0.000, 4.108, 0.000], [0.000, 0.000, 6.889]],
  "species": ["Tl", "Sb", "Ir", "C", "C"],
  "frac_coords": [[0.000, 0.000, 0.000], [0.000, 0.000, 0.500], [0.500, 0.500, 0.000], [0.000, 0.500, 0.500], [0.500, 0.000, 0.500]],
  "space_group": "P4/mmm",
  "formation_energy_uncorrected_ev_per_atom": 2.69
}



{
  "formula": "Y2SbIrC",
  "functional": "PBE-GGA",
  "state": "relaxed",
  "lattice": [[5.168, 0.000, 0.000], [0.000, 5.168, 0.000], [0.000, 0.000, 3.902]],
  "species": ["Y", "Y", "Sb", "Ir", "C"],
  "frac_coords": [[0.000, 0.500, 0.000], [0.500, 0.000, 0.000], [0.000, 0.000, 0.500], [0.500, 0.500, 0.500], [0.500, 0.500, 0.000]],
  "space_group": "P4/mmm",
  "formation_energy_uncorrected_ev_per_atom": -0.62
}



{
  "formula": "Sc2IrC",
  "functional": "PBE-GGA",
  "state": "relaxed",
  "lattice": [[3.224, 0.000, 0.000], [-1.612, 2.792, 0.000], [0.000, 0.000, 24.895]],
  "species": ["Sc", "Sc", "Sc", "Sc", "Sc", "Sc", "Ir", "Ir", "Ir", "C", "C", "C"],
  "frac_coords": [[0.000, 0.000, 0.087], [0.000, 0.000, 0.913], [0.333, 0.667, 0.580], [0.333, 0.667, 0.753], [0.667, 0.333, 0.247], [0.667, 0.333, 0.420], [0.000, 0.000, 0.500], [0.333, 0.667, 0.167], [0.667, 0.333, 0.833], [0.000, 0.000, 0.000], [0.333, 0.667, 0.667], [0.667, 0.333, 0.333]],
  "delta_e_f_ev_per_fu": 2.77,
  "space_group": "R-3m"
}



{
  "formula": "Sc3IrC3",
  "functional": "PBE-GGA",
  "state": "relaxed",
  "lattice": [[4.185, -4.891, 0.000], [4.185, 4.891, 0.000], [0.000, 0.000, 4.684]],
  "species": ["Sc", "Sc", "Sc", "Sc", "Sc", "Sc", "Ir", "Ir", "C", "C", "C", "C", "C", "C"],
  "frac_coords": [[0.108, 0.892, 0.750], [0.156, 0.395, 0.750], [0.395, 0.156, 0.250], [0.605, 0.844, 0.750], [0.844, 0.605, 0.250], [0.892, 0.108, 0.250], [0.313, 0.687, 0.250], [0.687, 0.313, 0.750], [0.115, 0.885, 0.250], [0.156, 0.402, 0.250], [0.402, 0.156, 0.750], [0.598, 0.844, 0.250], [0.844, 0.598, 0.750], [0.885, 0.115, 0.750]],
  "delta_e_f_ev_per_fu": -3.10,
  "space_group": "Cmcm"
}



{
  "formula": "ScIrC",
  "functional": "PBE-GGA",
  "state": "relaxed",
  "lattice": [[5.153, 0.000, 0.000], [0.000, 5.153, 0.000], [0.000, 0.000, 6.233]],
  "species": ["Sc", "Sc", "Sc", "Sc", "Ir", "Ir", "Ir", "Ir", "C", "C", "C", "C"],
  "frac_coords": [[0.217, 0.217, 0.000], [0.283, 0.717, 0.250], [0.717, 0.283, 0.750], [0.783, 0.783, 0.500], [0.192, 0.192, 0.500], [0.308, 0.692, 0.750], [0.692, 0.308, 0.250], [0.808, 0.808, 0.000], [0.027, 0.973, 0.750], [0.473, 0.473, 0.500], [0.527, 0.527, 0.000], [0.973, 0.027, 0.250]],
  "delta_e_f_ev_per_fu": -0.63,
  "space_group": "P4_12_12"
}



{
  "formula": "Sc2IrC",
  "functional": "PBE-GGA",
  "state": "relaxed",
  "lattice": [[8.740, 0.000, 0.000], [0.000, 8.740, 0.000], [0.000, 0.000, 3.893]],
  "species": ["Sc", "Sc", "Sc", "Sc", "Sc", "Sc", "Sc", "Sc", "Ir", "Ir", "Ir", "Ir", "C", "C", "C", "C"],
  "frac_coords": [[0.081, 0.250, 0.125], [0.250, 0.581, 0.375], [0.250, 0.919, 0.875], [0.419, 0.250, 0.625], [0.581, 0.750, 0.625], [0.750, 0.081, 0.875], [0.750, 0.419, 0.375], [0.919, 0.750, 0.125], [0.000, 0.000, 0.500], [0.000, 0.500, 0.750], [0.500, 0.000, 0.250], [0.500, 0.500, 0.000], [0.000, 0.000, 0.000], [0.000, 0.500, 0.250], [0.500, 0.000, 0.750], [0.500, 0.500, 0.500]],
  "delta_e_f_ev_per_fu": -1.47,
  "space_group": "I-42d"
}



{
  "formula": "ScIr3C",
  "functional": "PBE-GGA",
  "state": "relaxed",
  "lattice": [[4.681, 0.000, 0.000], [0.000, 4.681, 0.000], [0.000, 0.000, 4.681]],
  "species": ["Sc", "Ir", "Ir", "Ir", "C"],
  "frac_coords": [[0.000, 0.000, 0.000], [0.000, 0.000, 0.500], [0.000, 0.500, 0.000], [0.500, 0.000, 0.000], [0.500, 0.500, 0.500]],
  "delta_e_f_ev_per_fu": 14.67,
  "space_group": "Pm-3m",
  "de_polymorph_ev_per_atom": 3.165
}



{
  "formula": "ScIr2C",
  "functional": "PBE-GGA",
  "state": "relaxed",
  "lattice": [[6.790, 0.000, 0.000], [0.000, 6.790, 0.000], [0.000, 0.000, 5.146]],
  "species": ["Sc", "Sc", "Sc", "Sc", "Ir", "Ir", "Ir", "Ir", "Ir", "Ir", "Ir", "Ir", "C", "C", "C", "C"],
  "frac_coords": [[0.000, 0.000, 0.000], [0.000, 0.500, 0.250], [0.500, 0.000, 0.750], [0.500, 0.500, 0.500], [0.124, 0.250, 0.625], [0.250, 0.624, 0.875], [0.250, 0.876, 0.375], [0.376, 0.250, 0.125], [0.624, 0.750, 0.125], [0.750, 0.124, 0.375], [0.750, 0.376, 0.875], [0.876, 0.750, 0.625], [0.000, 0.000, 0.500], [0.000, 0.500, 0.750], [0.500, 0.000, 0.250], [0.500, 0.500, 0.000]],
  "delta_e_f_ev_per_fu": -0.98,
  "space_group": "I-42d"
}



{
  "formula": "ScIrC2",
  "functional": "PBE-GGA",
  "state": "relaxed",
  "lattice": [[4.732, 0.000, 0.000], [0.000, 4.732, 0.000], [0.000, 0.000, 10.083]],
  "species": ["Sc", "Sc", "Sc", "Sc", "Ir", "Ir", "Ir", "Ir", "C", "C", "C", "C", "C", "C", "C", "C"],
  "frac_coords": [[0.000, 0.000, 0.000], [0.000, 0.500, 0.250], [0.500, 0.000, 0.750], [0.500, 0.500, 0.500], [0.000, 0.000, 0.500], [0.000, 0.500, 0.750], [0.500, 0.000, 0.250], [0.500, 0.500, 0.000], [0.197, 0.250, 0.625], [0.250, 0.697, 0.875], [0.250, 0.803, 0.375], [0.303, 0.250, 0.125], [0.697, 0.750, 0.125], [0.750, 0.197, 0.375], [0.750, 0.303, 0.875], [0.803, 0.750, 0.625]],
  "delta_e_f_ev_per_fu": 1.04,
  "space_group": "I-42d"
}



{
  "formula": "ScIr3C",
  "functional": "PBE-GGA",
  "state": "relaxed",
  "lattice": [[4.139, 0.000, 0.000], [0.000, 4.139, 0.000], [0.000, 0.000, 4.139]],
  "species": ["Sc", "Ir", "Ir", "Ir", "C"],
  "frac_coords": [[0.000, 0.000, 0.000], [0.000, 0.500, 0.500], [0.500, 0.000, 0.500], [0.500, 0.500, 0.000], [0.500, 0.500, 0.500]],
  "delta_e_f_ev_per_fu": -1.16,
  "space_group": "Pm-3m",
  "de_polymorph_ev_per_atom": 0.000
}



{
  "formula": "TmSc2IrC",
  "functional": "PBE-GGA",
  "state": "relaxed",
  "lattice": [[4.372, 0.000, 0.000], [0.000, 4.372, 0.000], [0.000, 0.000, 4.925]],
  "species": ["Tm", "Sc", "Sc", "Ir", "C"],
  "frac_coords": [[0.000, 0.000, 0.000], [0.000, 0.500, 0.477], [0.500, 0.000, 0.477], [0.500, 0.500, 0.088], [0.000, 0.000, 0.531]],
  "delta_e_f_ev_per_fu": -2.51,
  "space_group": "P4mm"
}



{
  "formula": "ScZnIr2C",
  "functional": "PBE-GGA",
  "state": "relaxed",
  "lattice": [[4.498, 0.000, 0.000], [0.000, 4.498, 0.000], [0.000, 0.000, 4.764]],
  "species": ["Sc", "Zn", "Ir", "Ir", "C"],
  "frac_coords": [[0.000, 0.000, 0.000], [0.000, 0.000, 0.500], [0.000, 0.500, 0.500], [0.500, 0.000, 0.500], [0.500, 0.500, 0.000]],
  "delta_e_f_ev_per_fu": 10.06,
  "space_group": "P4/mmm"
}



{
  "formula": "Sc2ZnIrC",
  "functional": "PBE-GGA",
  "state": "relaxed",
  "lattice": [[4.568, 0.000, 0.000], [0.000, 4.568, 0.000], [0.000, 0.000, 3.892]],
  "species": ["Sc", "Sc", "Zn", "Ir", "C"],
  "frac_coords": [[0.000, 0.500, 0.000], [0.500, 0.000, 0.000], [0.000, 0.000, 0.500], [0.500, 0.500, 0.500], [0.500, 0.500, 0.000]],
  "delta_e_f_ev_per_fu": -2.64,
  "space_group": "P4/mmm"
}



{
  "formula": "ZrSc2IrC",
  "functional": "PBE-GGA",
  "state": "relaxed",
  "lattice": [[4.354, 0.000, 0.000], [0.000, 4.354, 0.000], [0.000, 0.000, 4.587]],
  "species": ["Zr", "Sc", "Sc", "Ir", "C"],
  "frac_coords": [[0.000, 0.000, 0.000], [0.000, 0.500, 0.500], [0.500, 0.000, 0.500], [0.500, 0.500, 0.000], [0.000, 0.000, 0.500]],
  "delta_e_f_ev_per_fu": -2.53,
  "space_group": "P4/mmm"
}



{
  "formula": "Ir2CSe",
  "functional": "PBE-GGA",
  "state": "relaxed",
  "lattice": [[5.019, 0.000, 0.000], [0.000, 5.019, 0.000], [0.000, 0.000, 10.374]],
  "species": ["Ir", "Ir", "Ir", "Ir", "Ir", "Ir", "Ir", "Ir", "C", "C", "C", "C", "Se", "Se", "Se", "Se"],
  "frac_coords": [[0.169, 0.250, 0.125], [0.250, 0.669, 0.375], [0.250, 0.831, 0.875], [0.331, 0.250, 0.625], [0.669, 0.750, 0.625], [0.750, 0.169, 0.875], [0.750, 0.331, 0.375], [0.831, 0.750, 0.125], [0.000, 0.000, 0.000], [0.000, 0.500, 0.250], [0.500, 0.000, 0.750], [0.500, 0.500, 0.500], [0.000, 0.000, 0.500], [0.000, 0.500, 0.750], [0.500, 0.000, 0.250], [0.500, 0.500, 0.000]],
  "space_group": "I-42d",
  "de_polymorph_ev_per_atom": 0.000,
  "formation_energy_uncorrected_ev_per_atom": 0.38
}



{
  "formula": "IrCSe3",
  "functional": "PBE-GGA",
  "state": "relaxed",
  "lattice": [[4.901, 0.000, 0.000], [0.000, 4.901, 0.000], [0.000, 0.000, 4.901]],
  "species": ["Ir", "C", "Se", "Se", "Se"],
  "frac_coords": [[0.000, 0.000, 0.000], [0.500, 0.500, 0.500], [0.000, 0.000, 0.500], [0.000, 0.500, 0.000], [0.500, 0.000, 0.000]],
  "space_group": "Pm-3m",
  "de_polymorph_ev_per_atom": 0.477,
  "formation_energy_uncorrected_ev_per_atom": 1.86
}



{
  "formula": "Ir3CSe",
  "functional": "PBE-GGA",
  "state": "relaxed",
  "lattice": [[4.155, 0.000, 0.000], [0.000, 4.155, 0.000], [0.000, 0.000, 4.155]],
  "species": ["Ir", "Ir", "Ir", "C", "Se"],
  "frac_coords": [[0.000, 0.000, 0.500], [0.000, 0.500, 0.000], [0.500, 0.000, 0.000], [0.000, 0.000, 0.000], [0.500, 0.500, 0.500]],
  "space_group": "Pm-3m",
  "de_polymorph_ev_per_atom": 0.000,
  "formation_energy_uncorrected_ev_per_atom": 0.81
}



{
  "formula": "IrC2Se",
  "functional": "PBE-GGA",
  "state": "relaxed",
  "lattice": [[4.807, 0.000, 0.000], [0.000, 4.807, 0.000], [0.000, 0.000, 9.401]],
  "species": ["Ir", "Ir", "Ir", "Ir", "C", "C", "C", "C", "C", "C", "C", "C", "Se", "Se", "Se", "Se"],
  "frac_coords": [[0.000, 0.000, 0.000], [0.000, 0.500, 0.250], [0.500, 0.000, 0.750], [0.500, 0.500, 0.500], [0.226, 0.250, 0.125], [0.250, 0.726, 0.375], [0.250, 0.774, 0.875], [0.274, 0.250, 0.625], [0.726, 0.750, 0.625], [0.750, 0.226, 0.875], [0.750, 0.274, 0.375], [0.774, 0.750, 0.125], [0.000, 0.000, 0.500], [0.000, 0.500, 0.750], [0.500, 0.000, 0.250], [0.500, 0.500, 0.000]],
  "space_group": "I-42d",
  "formation_energy_uncorrected_ev_per_atom": 1.24
}



How do the records compare in total magnetic moment? In the order shown, they have 1.44, 0.00, 0.00, 0.00, 0.00, 0.86, 0.00, 0.00, 0.62, 1.85, 0.00, 0.00, 0.00, 0.00, 0.00, 0.00, 0.00, 0.00, 0.00, 0.00, 0.00, 0.00, 0.00, 0.00, 0.18, 0.00, 0.00 μB/f.u..
How do the records compare in volume? In the order shown, they have 114.29, 331.33, 71.63, 95.58, 85.68, 143.52, 98.69, 97.11, 144.57, 116.28, 104.22, 224.05, 191.73, 165.55, 297.39, 102.56, 237.26, 225.77, 70.91, 94.15, 96.37, 81.21, 86.95, 261.32, 117.72, 71.71, 217.24 Å³ per cell.